Record 1
Mg3Si4 | PBE-GGA | relaxed

Properties
Energy above the lowest structure with this stoichiometry in meV per atom: 33
Crystal system: triclinic
Formation energy (no corrections) in eV/atom: 0.085

Unit cell a=4.446 b=7.955 c=7.973 alpha=99.17 beta=94.06 gamma=104.48
Fractional coordinates of all 14 atoms:
Mg (0.000, 0.000, 0.000)
Mg (0.021, 0.219, 0.404)
Mg (0.273, 0.673, 0.582)
Mg (0.318, 0.641, 0.967)
Mg (0.678, 0.314, 0.077)
Mg (0.892, 0.739, 0.261)
Si (0.059, 0.252, 0.804)
Si (0.303, 0.490, 0.252)
Si (0.424, 0.984, 0.481)
Si (0.507, 0.977, 0.185)
Si (0.544, 0.263, 0.669)
Si (0.672, 0.475, 0.488)
Si (0.802, 0.684, 0.769)
Si (0.913, 0.949, 0.629)

=====

Record 2
Ba5Cd5Pd2 | PBE-GGA | relaxed

Properties
Crystal system: monoclinic
Energy relative to the elements in eV/atom: -0.39

Unit cell a=9.382 b=9.382 c=13.214 alpha=129.55 beta=129.55 gamma=29.04
Fractional coordinates of all 12 atoms:
Ba (0.000, 0.000, 0.000)
Ba (0.301, 0.301, 0.416)
Ba (0.382, 0.382, 0.187)
Ba (0.618, 0.618, 0.813)
Ba (0.699, 0.699, 0.584)
Cd (0.000, 0.000, 0.500)
Cd (0.067, 0.067, 0.321)
Cd (0.291, 0.291, 0.844)
Cd (0.709, 0.709, 0.156)
Cd (0.933, 0.933, 0.679)
Pd (0.386, 0.386, 0.739)
Pd (0.614, 0.614, 0.261)

=====

Record 3
P2HIrS | PBE-GGA | relaxed

Properties
Energy above the lowest structure with this stoichiometry in meV per atom: 0
Crystal system: tetragonal

Unit cell a=3.677 b=3.677 c=4.555 alpha=90.00 beta=90.00 gamma=90.00
Fractional coordinates of all 5 atoms:
P (0.000, 0.500, 0.000)
P (0.500, 0.000, 0.000)
H (0.000, 0.000, 0.000)
Ir (0.500, 0.500, 0.500)
S (0.000, 0.000, 0.500)

=====

Record 4
Pm4NiN2 | PBE-GGA | relaxed

Properties
Crystal system: orthorhombic
Formation energy (no corrections) in eV/atom: -0.837

Unit cell a=6.352 b=6.352 c=12.925 alpha=90.00 beta=90.00 gamma=146.70
Fractional coordinates of all 14 atoms:
Pm (0.000, 0.000, 0.000)
Pm (0.000, 0.000, 0.500)
Pm (0.270, 0.730, 0.610)
Pm (0.270, 0.730, 0.890)
Pm (0.440, 0.560, 0.250)
Pm (0.560, 0.440, 0.750)
Pm (0.730, 0.270, 0.110)
Pm (0.730, 0.270, 0.390)
Ni (0.108, 0.892, 0.250)
Ni (0.892, 0.108, 0.750)
N (0.364, 0.636, 0.057)
N (0.364, 0.636, 0.443)
N (0.636, 0.364, 0.557)
N (0.636, 0.364, 0.943)

=====

Record 5
Cs2Tl2PbCl6 | PBE-GGA | relaxed

Properties
Crystal system: monoclinic
Formation energy (no corrections) in eV/atom: -1.398

Unit cell a=8.187 b=8.187 c=7.710 alpha=100.26 beta=100.26 gamma=116.11
Fractional coordinates of all 11 atoms:
Cs (0.154, 0.846, 0.000)
Cs (0.846, 0.154, 0.000)
Tl (0.328, 0.672, 0.500)
Tl (0.672, 0.328, 0.500)
Pb (0.500, 0.500, 0.000)
Cl (0.137, 0.440, 0.770)
Cl (0.312, 0.312, 0.253)
Cl (0.440, 0.137, 0.770)
Cl (0.560, 0.863, 0.230)
Cl (0.688, 0.688, 0.747)
Cl (0.863, 0.560, 0.230)

=====

Record 6
CsPr2MnSe4 | PBE-GGA | relaxed

Properties
Crystal system: orthorhombic
Formation energy (no corrections) in eV/atom: -1.459

Unit cell a=7.900 b=7.900 c=14.950 alpha=90.00 beta=90.00 gamma=148.47
Fractional coordinates of all 16 atoms:
Cs (0.103, 0.897, 0.750)
Cs (0.897, 0.103, 0.250)
Pr (0.368, 0.632, 0.557)
Pr (0.368, 0.632, 0.943)
Pr (0.632, 0.368, 0.057)
Pr (0.632, 0.368, 0.443)
Mn (0.171, 0.829, 0.250)
Mn (0.829, 0.171, 0.750)
Se (0.000, 0.000, 0.000)
Se (0.000, 0.000, 0.500)
Se (0.261, 0.739, 0.111)
Se (0.261, 0.739, 0.389)
Se (0.419, 0.581, 0.750)
Se (0.581, 0.419, 0.250)
Se (0.739, 0.261, 0.611)
Se (0.739, 0.261, 0.889)

=====

Record 7
Ba2Li4Sb3As | PBE-GGA | relaxed

Properties
Crystal system: tetragonal
Formation energy (no corrections) in eV/atom: -0.765

Unit cell a=4.712 b=4.712 c=11.576 alpha=90.00 beta=90.00 gamma=90.00
Fractional coordinates of all 10 atoms:
Ba (0.000, 0.500, 0.249)
Ba (0.500, 0.000, 0.751)
Li (0.000, 0.000, 0.500)
Li (0.000, 0.500, 0.873)
Li (0.500, 0.000, 0.127)
Li (0.500, 0.500, 0.500)
Sb (0.000, 0.000, 0.000)
Sb (0.000, 0.500, 0.635)
Sb (0.500, 0.000, 0.365)
As (0.500, 0.500, 0.000)

=====

Record 8
Nd3SmAg2 | PBE-GGA | relaxed

Properties
Energy above the lowest structure with this stoichiometry in meV per atom: 0
Crystal system: tetragonal
Energy relative to the elements in eV/atom: -0.16

Unit cell a=3.728 b=3.728 c=12.676 alpha=90.00 beta=90.00 gamma=90.00
Fractional coordinates of all 6 atoms:
Nd (0.000, 0.000, 0.000)
Nd (0.000, 0.000, 0.299)
Nd (0.000, 0.000, 0.701)
Sm (0.500, 0.500, 0.500)
Ag (0.500, 0.500, 0.151)
Ag (0.500, 0.500, 0.849)

=====

Record 9
SrV3Se | PBE-GGA | relaxed

Properties
Energy above the lowest structure with this stoichiometry in meV per atom: 0
Crystal system: cubic
Formation energy (no corrections) in eV/atom: 0.620

Unit cell a=4.731 b=4.731 c=4.731 alpha=90.00 beta=90.00 gamma=90.00
Fractional coordinates of all 5 atoms:
Sr (0.000, 0.000, 0.000)
V (0.000, 0.500, 0.500)
V (0.500, 0.000, 0.500)
V (0.500, 0.500, 0.000)
Se (0.500, 0.500, 0.500)

=====

Record 10
Cd2In2Sn2Pb | PBE-GGA | relaxed

Properties
Crystal system: trigonal
Energy relative to the elements in eV/atom: 0.05

Unit cell a=8.266 b=8.266 c=8.266 alpha=37.83 beta=37.83 gamma=37.83
Fractional coordinates of all 7 atoms:
Cd (0.070, 0.070, 0.070)
Cd (0.930, 0.930, 0.930)
In (0.215, 0.215, 0.215)
In (0.785, 0.785, 0.785)
Sn (0.355, 0.355, 0.355)
Sn (0.645, 0.645, 0.645)
Pb (0.500, 0.500, 0.500)

=====

Record 11
Pr8ZnIn2 | PBE-GGA | relaxed

Properties
Energy above the lowest structure with this stoichiometry in meV per atom: 13
Crystal system: monoclinic
Energy relative to the elements in eV/atom: -0.21

Unit cell a=10.119 b=10.119 c=6.984 alpha=104.86 beta=104.86 gamma=30.83
Fractional coordinates of all 11 atoms:
Pr (0.012, 0.012, 0.274)
Pr (0.208, 0.208, 0.799)
Pr (0.346, 0.346, 0.522)
Pr (0.408, 0.408, 0.036)
Pr (0.592, 0.592, 0.964)
Pr (0.654, 0.654, 0.478)
Pr (0.792, 0.792, 0.201)
Pr (0.988, 0.988, 0.726)
Zn (0.500, 0.500, 0.500)
In (0.180, 0.180, 0.240)
In (0.820, 0.820, 0.760)

=====

Record 12
CaScFe2 | PBE-GGA | relaxed

Properties
Crystal system: tetragonal
Energy relative to the elements in eV/atom: 0.18

Unit cell a=3.240 b=3.240 c=7.704 alpha=90.00 beta=90.00 gamma=90.00
Fractional coordinates of all 4 atoms:
Ca (0.000, 0.000, 0.000)
Sc (0.500, 0.500, 0.616)
Fe (0.000, 0.000, 0.400)
Fe (0.500, 0.500, 0.276)

=====

Record 13
Zr2Al2Cu | PBE-GGA | relaxed

Properties
Energy above the lowest structure with this stoichiometry in meV per atom: 139
Crystal system: tetragonal
Energy relative to the elements in eV/atom: -0.28

Unit cell a=4.026 b=4.026 c=11.349 alpha=90.00 beta=90.00 gamma=90.00
Fractional coordinates of all 10 atoms:
Zr (0.250, 0.250, 0.220)
Zr (0.250, 0.750, 0.500)
Zr (0.750, 0.250, 0.500)
Zr (0.750, 0.750, 0.780)
Al (0.250, 0.250, 0.680)
Al (0.250, 0.750, 0.000)
Al (0.750, 0.250, 0.000)
Al (0.750, 0.750, 0.320)
Cu (0.250, 0.250, 0.881)
Cu (0.750, 0.750, 0.119)

=====

Record 14
V2GeIr2 | PBE-GGA | relaxed

Properties
Crystal system: tetragonal
Energy relative to the elements in eV/atom: -0.27

Unit cell a=7.379 b=7.379 c=2.778 alpha=90.00 beta=90.00 gamma=90.00
Fractional coordinates of all 10 atoms:
V (0.160, 0.340, 0.000)
V (0.340, 0.840, 0.000)
V (0.660, 0.160, 0.000)
V (0.840, 0.660, 0.000)
Ge (0.000, 0.000, 0.500)
Ge (0.500, 0.500, 0.500)
Ir (0.134, 0.634, 0.500)
Ir (0.366, 0.134, 0.500)
Ir (0.634, 0.866, 0.500)
Ir (0.866, 0.366, 0.500)

=====

Record 15
TaGaPb | PBE-GGA | relaxed

Properties
Energy above the lowest structure with this stoichiometry in meV per atom: 99
Crystal system: triclinic
Energy relative to the elements in eV/atom: 0.12

Unit cell a=3.109 b=3.110 c=15.161 alpha=93.34 beta=93.77 gamma=112.63
Fractional coordinates of all 6 atoms:
Ta (0.000, 0.000, 0.000)
Ta (0.428, 0.430, 0.858)
Ga (0.686, 0.448, 0.139)
Ga (0.980, 0.741, 0.717)
Pb (0.158, 0.117, 0.308)
Pb (0.785, 0.748, 0.531)

=====

Record 16
VNiH2Ir | PBE-GGA | relaxed

Properties
Crystal system: tetragonal
Raw total energy in eV/atom: -5.60

Unit cell a=3.338 b=3.338 c=4.875 alpha=90.00 beta=90.00 gamma=90.00
Fractional coordinates of all 5 atoms:
V (0.000, 0.000, 0.000)
Ni (0.500, 0.500, 0.000)
H (0.000, 0.500, 0.500)
H (0.500, 0.000, 0.500)
Ir (0.500, 0.500, 0.500)

=====

Record 17
RbCrSN2 | PBE-GGA | relaxed

Properties
Energy above the lowest structure with this stoichiometry in meV per atom: 0
Crystal system: tetragonal
Formation energy (no corrections) in eV/atom: 0.454

Unit cell a=3.995 b=3.995 c=4.907 alpha=90.00 beta=90.00 gamma=90.00
Fractional coordinates of all 5 atoms:
Rb (0.000, 0.000, 0.000)
Cr (0.500, 0.500, 0.500)
S (0.500, 0.500, 0.000)
N (0.000, 0.500, 0.500)
N (0.500, 0.000, 0.500)

=====

Record 18
Ce2Ge4Pd5 | PBE-GGA | relaxed

Properties
Crystal system: orthorhombic
Energy relative to the elements in eV/atom: -0.61

Unit cell a=8.980 b=8.047 c=5.706 alpha=79.54 beta=61.79 gamma=38.67
Fractional coordinates of all 11 atoms:
Ce (0.139, 0.139, 0.861)
Ce (0.861, 0.861, 0.139)
Ge (0.222, 0.512, 0.488)
Ge (0.488, 0.778, 0.222)
Ge (0.512, 0.222, 0.778)
Ge (0.778, 0.488, 0.512)
Pd (0.000, 0.000, 0.500)
Pd (0.250, 0.250, 0.250)
Pd (0.500, 0.500, 0.000)
Pd (0.500, 0.500, 0.500)
Pd (0.750, 0.750, 0.750)

=====

Record 19
LiDy3Cd2 | PBE-GGA | relaxed

Properties
Energy above the lowest structure with this stoichiometry in meV per atom: 0
Crystal system: orthorhombic
Energy relative to the elements in eV/atom: -0.18

Unit cell a=5.227 b=15.671 c=3.795 alpha=90.00 beta=90.00 gamma=90.00
Fractional coordinates of all 12 atoms:
Li (0.000, 0.000, 0.000)
Li (0.500, 0.500, 0.000)
Dy (0.000, 0.167, 0.500)
Dy (0.000, 0.500, 0.500)
Dy (0.000, 0.833, 0.500)
Dy (0.500, 0.000, 0.500)
Dy (0.500, 0.333, 0.500)
Dy (0.500, 0.667, 0.500)
Cd (0.000, 0.337, 0.000)
Cd (0.000, 0.663, 0.000)
Cd (0.500, 0.163, 0.000)
Cd (0.500, 0.837, 0.000)

=====

Record 20
Li3InPd | PBE-GGA | relaxed

Properties
Energy above the lowest structure with this stoichiometry in meV per atom: 298
Crystal system: cubic
Energy relative to the elements in eV/atom: -0.06

Unit cell a=4.711 b=4.711 c=4.711 alpha=90.00 beta=90.00 gamma=90.00
Fractional coordinates of all 5 atoms:
Li (0.000, 0.000, 0.500)
Li (0.000, 0.500, 0.000)
Li (0.500, 0.000, 0.000)
In (0.500, 0.500, 0.500)
Pd (0.000, 0.000, 0.000)

=====

Total magnetic moment? In order: 0.00 0.00 0.00 0.00 0.00 4.22 0.00 0.18 3.83 0.00 0.00 5.15 0.00 0.00 0.00 0.00 0.92 1.85 0.00 0.00 μB per formula unit.